DFT (PBE-GGA) results for a geometry-optimized Tb2NdTh structure.

Unit cell a=5.4609 b=3.5092 c=14.0464 alpha=97.18 beta=90.00 gamma=90.00
Element x y z (fractional)
Tb (0.7500, 0.9100, 0.8201)
Tb (0.2500, 0.0900, 0.1799)
Tb (0.2500, 0.3459, 0.6919)
Tb (0.7500, 0.6541, 0.3081)
Th (0.7500, 0.5294, 0.0587)
Th (0.2500, 0.4706, 0.9413)
Nd (0.7500, 0.7825, 0.5650)
Nd (0.2500, 0.2175, 0.4350)

- space group = No. 63
- DOS at the Fermi energy (states/eV/cell) = 12.288
- mass density (g/cm3) = 8.63
- energy above the most stable polymorph in this dataset (meV/atom) = 83
- crystal system = orthorhombic

DFT (PBE-GGA) results for a geometry-optimized Tb2Nd4Th3 structure.

Unit cell a=3.6289 b=8.0825 c=10.8563 alpha=76.55 beta=90.00 gamma=102.97
Element x y z (fractional)
Nd (0.3381, 0.6762, 0.8860)
Nd (0.9967, 0.9934, 0.3379)
Nd (0.0033, 0.0066, 0.6621)
Nd (0.6619, 0.3238, 0.1140)
Tb (0.6643, 0.3285, 0.7783)
Tb (0.3357, 0.6715, 0.2217)
Th (0.3273, 0.6545, 0.5574)
Th (0.6727, 0.3455, 0.4426)
Th (0.0000, 0.0000, 0.0000)

- space group = No. 12
- DOS at the Fermi energy (states/eV/cell) = 14.270
- mass density (g/cm3) = 8.77
- energy above the most stable polymorph in this dataset (meV/atom) = 0
- crystal system = monoclinic

DFT (PBE-GGA) results for a geometry-optimized Tb3Nd6Th structure.

Unit cell a=3.5705 b=13.3605 c=14.6127 alpha=100.56 beta=90.00 gamma=90.00
Element x y z (fractional)
Tb (0.2500, 0.9270, 0.8993)
Tb (0.2500, 0.5776, 0.0961)
Tb (0.2500, 0.3760, 0.4984)
Tb (0.7500, 0.6240, 0.5016)
Tb (0.7500, 0.0730, 0.1007)
Tb (0.7500, 0.4224, 0.9039)
Nd (0.7500, 0.3447, 0.1192)
Nd (0.7500, 0.8113, 0.0804)
Nd (0.2500, 0.8780, 0.5157)
Nd (0.2500, 0.2700, 0.7017)
Nd (0.7500, 0.5002, 0.6903)
Nd (0.7500, 0.7800, 0.7119)
Nd (0.7500, 0.1220, 0.4843)
Nd (0.2500, 0.6553, 0.8808)
Nd (0.2500, 0.4998, 0.3097)
Nd (0.7500, 0.7300, 0.2983)
Nd (0.2500, 0.2200, 0.2881)
Nd (0.2500, 0.1887, 0.9196)
Th (0.2500, 0.9639, 0.2772)
Th (0.7500, 0.0361, 0.7228)

- space group = No. 11
- DOS at the Fermi energy (states/eV/cell) = 29.830
- mass density (g/cm3) = 7.63
- energy above the most stable polymorph in this dataset (meV/atom) = 0
- crystal system = monoclinic

DFT (PBE-GGA) results for a geometry-optimized Tb3Nd4Th structure.

Unit cell a=3.4420 b=8.9701 c=8.9701 alpha=96.98 beta=90.00 gamma=90.00
Element x y z (fractional)
Nd (0.0000, 0.7573, 0.7573)
Nd (0.5000, 0.7485, 0.2515)
Nd (0.0000, 0.2427, 0.2427)
Nd (0.5000, 0.2515, 0.7485)
Tb (0.0000, 0.0000, 0.5000)
Tb (0.5000, 0.5000, 0.5000)
Tb (0.0000, 0.5000, 0.0000)
Th (0.5000, 0.0000, 0.0000)

- space group = No. 65
- DOS at the Fermi energy (states/eV/cell) = 17.261
- mass density (g/cm3) = 7.77
- energy above the most stable polymorph in this dataset (meV/atom) = 224
- crystal system = orthorhombic

DFT (PBE-GGA) results for a geometry-optimized Tb2Nd3Th3 structure.

Unit cell a=5.1402 b=5.0744 c=10.1860 alpha=90.00 beta=90.00 gamma=90.00
Element x y z (fractional)
Nd (0.0000, 0.5000, 0.0000)
Nd (0.0000, 0.5000, 0.5000)
Nd (0.5000, 0.0000, 0.5000)
Tb (0.0000, 0.0000, 0.7542)
Tb (0.0000, 0.0000, 0.2458)
Th (0.5000, 0.5000, 0.2458)
Th (0.5000, 0.5000, 0.7542)
Th (0.5000, 0.0000, 0.0000)

- space group = No. 47
- raw total energy (eV/atom) = -5.666
- DOS at the Fermi energy (states/eV/cell) = 11.386
- mass density (g/cm3) = 9.04
- crystal system = orthorhombic

DFT (PBE-GGA) results for a geometry-optimized Tb3Nd4Th2 structure.

Unit cell a=3.5964 b=3.5964 c=27.1679 alpha=90.00 beta=90.00 gamma=120.00
Element x y z (fractional)
Nd (0.0000, 0.0000, 0.5458)
Nd (0.6667, 0.3333, 0.2160)
Nd (0.0000, 0.0000, 0.7633)
Nd (0.6667, 0.3333, 0.4321)
Tb (0.6667, 0.3333, 0.6535)
Tb (0.0000, 0.0000, 0.3229)
Tb (0.0000, 0.0000, 0.9815)
Th (0.6667, 0.3333, 0.8733)
Th (0.6667, 0.3333, 0.0888)

- space group = No. 156
- DOS at the Fermi energy (states/eV/cell) = 16.795
- mass density (g/cm3) = 8.28
- energy above the most stable polymorph in this dataset (meV/atom) = 68
- crystal system = trigonal

DFT (PBE-GGA) results for a geometry-optimized Tb6NdTh2 structure.

Unit cell a=3.4968 b=12.0344 c=12.0344 alpha=47.96 beta=54.51 gamma=54.51
Element x y z (fractional)
Tb (0.1719, 0.9999, 0.6646)
Tb (0.8281, 0.0001, 0.3354)
Tb (0.5000, 0.6642, 0.3358)
Tb (0.5000, 0.3358, 0.6642)
Tb (0.8281, 0.3354, 0.0001)
Tb (0.1719, 0.6646, 0.9999)
Th (0.6670, 0.3333, 0.3333)
Th (0.3330, 0.6667, 0.6667)
Nd (0.0000, 0.0000, 0.0000)

- space group = No. 65
- DOS at the Fermi energy (states/eV/cell) = 11.917
- mass density (g/cm3) = 8.93
- energy above the most stable polymorph in this dataset (meV/atom) = 0
- crystal system = orthorhombic

DFT (PBE-GGA) results for a geometry-optimized TbNd8Th4 structure.

Unit cell a=11.4459 b=11.4459 c=7.9213 alpha=90.00 beta=136.26 gamma=120.00
Element x y z (fractional)
Nd (0.0320, 0.7709, 0.8029)
Nd (0.9680, 0.7389, 0.1971)
Nd (0.9680, 0.2291, 0.1971)
Nd (0.0320, 0.2611, 0.8029)
Nd (0.5267, 0.7633, 0.2900)
Nd (0.4582, 0.2291, 0.1971)
Nd (0.5418, 0.7709, 0.8029)
Nd (0.4733, 0.2367, 0.7100)
Th (0.5000, 0.5000, 0.0000)
Th (0.0000, 0.0000, 0.0000)
Th (0.5000, 0.0000, 0.0000)
Th (0.0000, 0.5000, 0.0000)
Tb (0.0000, 0.5000, 0.5000)

- space group = No. 166
- raw total energy (eV/atom) = -5.021
- DOS at the Fermi energy (states/eV/cell) = 21.543
- mass density (g/cm3) = 7.51
- crystal system = trigonal

Q: Among the records above, which one has the highest DOS at the Fermi energy?
A: Tb3Nd6Th